Record 1
Here is a relaxed structure of Ac2La2Nd4Dy from the Alexandria database. Energies are from PBE.

* ΔE_f: 26.0 meV/atom
* DOS(E_F): 13.022 states/eV/f.u.

```
data_Ac2La2Nd4Dy
_cell_length_a 19.526
_cell_length_b 3.798
_cell_length_c 10.096
_cell_angle_alpha 90.00
_cell_angle_beta 115.73
_cell_angle_gamma 90.00
_space_group_name_H-M_alt 'C 1 2/m 1'
_space_group_IT_number 12
loop_
_space_group_symop_operation_xyz
'x,y,z'
'-x,-y,-z'
'-x,y,-z'
'x,-y,z'
'x+1/2,y+1/2,z'
'-x+1/2,-y+1/2,-z'
'-x+1/2,y+1/2,-z'
'x+1/2,-y+1/2,z'
loop_
_atom_site_label
_atom_site_fract_x
_atom_site_fract_y
_atom_site_fract_z
Ac1 0.144 0.000 0.164
La1 0.164 0.500 0.503
Nd1 0.019 0.500 0.818
Nd2 0.185 0.000 0.833
Dy1 0.000 0.000 0.500
```



Record 2
Here is a relaxed structure of AcLa2Nd5Dy from the Alexandria database. Energies are from PBE.

* ΔE_f: 136.7 meV/atom
* DOS(E_F): 15.081 states/eV/f.u.

```
data_AcLa2Nd5Dy
_cell_length_a 5.587
_cell_length_b 22.622
_cell_length_c 10.576
_cell_angle_alpha 90.00
_cell_angle_beta 90.00
_cell_angle_gamma 90.00
_space_group_name_H-M_alt 'C m c 21'
_space_group_IT_number 36
loop_
_space_group_symop_operation_xyz
'x,y,z'
'-x,-y,z+1/2'
'-x,y,z'
'x,-y,z+1/2'
'x+1/2,y+1/2,z'
'-x+1/2,-y+1/2,z+1/2'
'-x+1/2,y+1/2,z'
'x+1/2,-y+1/2,z+1/2'
loop_
_atom_site_label
_atom_site_fract_x
_atom_site_fract_y
_atom_site_fract_z
Ac1 0.000 0.100 0.000
La1 0.000 0.382 0.760
La2 0.000 0.383 0.239
Nd1 0.000 0.000 0.250
Nd2 0.000 0.120 0.500
Nd3 0.000 0.222 0.805
Nd4 0.000 0.223 0.193
Nd5 0.000 0.497 0.000
Dy1 0.000 0.280 0.499
```



Record 3
Here is a relaxed structure of Ac5LaNd2Dy from the Alexandria database. Energies are from PBE.

* ΔE_f: 278.6 meV/atom
* DOS(E_F): 16.284 states/eV/f.u.

```
data_Ac5LaNd2Dy
_cell_length_a 8.412
_cell_length_b 8.412
_cell_length_c 21.297
_cell_angle_alpha 90.00
_cell_angle_beta 90.00
_cell_angle_gamma 90.00
_space_group_name_H-M_alt 'I 4/m c m'
_space_group_IT_number 140
_space_group_name_Hall '-I 4 2c'
loop_
_atom_site_label
_atom_site_fract_x
_atom_site_fract_y
_atom_site_fract_z
Ac1 0.000 0.000 0.000
Ac2 0.216 0.284 0.133
La1 0.000 0.000 0.250
Nd1 0.122 0.378 0.500
Dy1 0.000 0.500 0.250
```



Record 4
Here is a relaxed structure of AcLaNd2Dy5 from the Alexandria database. Energies are from PBE.

* ΔE_f: 231.3 meV/atom
* DOS(E_F): 9.579 states/eV/f.u.

```
data_AcLaNd2Dy5
_cell_length_a 8.849
_cell_length_b 8.849
_cell_length_c 15.921
_cell_angle_alpha 90.00
_cell_angle_beta 90.00
_cell_angle_gamma 90.00
_space_group_name_H-M_alt 'I 4/m c m'
_space_group_IT_number 140
_space_group_name_Hall '-I 4 2c'
loop_
_atom_site_label
_atom_site_fract_x
_atom_site_fract_y
_atom_site_fract_z
Ac1 0.000 0.000 0.250
La1 0.000 0.500 0.250
Nd1 0.118 0.382 0.000
Dy1 0.000 0.000 0.000
Dy2 0.205 0.295 0.369
```



Record 5
Here is a relaxed structure of Ac2LaNd5Dy from the Alexandria database. Energies are from PBE.

* ΔE_f: 74.2 meV/atom
* DOS(E_F): 15.300 states/eV/f.u.

```
data_Ac2LaNd5Dy
_cell_length_a 5.966
_cell_length_b 17.979
_cell_length_c 12.501
_cell_angle_alpha 90.00
_cell_angle_beta 90.00
_cell_angle_gamma 90.00
_space_group_name_H-M_alt 'C m c 21'
_space_group_IT_number 36
loop_
_space_group_symop_operation_xyz
'x,y,z'
'-x,-y,z+1/2'
'-x,y,z'
'x,-y,z+1/2'
'x+1/2,y+1/2,z'
'-x+1/2,-y+1/2,z+1/2'
'-x+1/2,y+1/2,z'
'x+1/2,-y+1/2,z+1/2'
loop_
_atom_site_label
_atom_site_fract_x
_atom_site_fract_y
_atom_site_fract_z
Ac1 0.000 0.081 0.000
Ac2 0.000 0.112 0.665
La1 0.000 0.250 0.169
Nd1 0.000 0.085 0.330
Nd2 0.000 0.270 0.466
Nd3 0.000 0.273 0.867
Nd4 0.000 0.438 0.017
Nd5 0.000 0.442 0.307
Dy1 0.000 0.391 0.668
```



Record 6
Here is a relaxed structure of AcLaNd4Dy2 from the Alexandria database. Energies are from PBE.

* ΔE_f: 122.3 meV/atom
* DOS(E_F): 16.357 states/eV/f.u.

```
data_AcLaNd4Dy2
_cell_length_a 9.761
_cell_length_b 6.138
_cell_length_c 9.734
_cell_angle_alpha 90.00
_cell_angle_beta 101.72
_cell_angle_gamma 90.00
_space_group_name_H-M_alt 'C 1 2/m 1'
_space_group_IT_number 12
loop_
_space_group_symop_operation_xyz
'x,y,z'
'-x,-y,-z'
'-x,y,-z'
'x,-y,z'
'x+1/2,y+1/2,z'
'-x+1/2,-y+1/2,-z'
'-x+1/2,y+1/2,-z'
'x+1/2,-y+1/2,z'
loop_
_atom_site_label
_atom_site_fract_x
_atom_site_fract_y
_atom_site_fract_z
Ac1 0.000 0.000 0.000
La1 0.000 0.500 0.500
Nd1 0.124 0.000 0.381
Nd2 0.126 0.500 0.861
Dy1 0.244 0.500 0.243
```



Record 7
Here is a relaxed structure of AcLa5Nd2Dy from the Alexandria database. Energies are from PBE.

* ΔE_f: 239.7 meV/atom
* DOS(E_F): 14.890 states/eV/f.u.

```
data_AcLa5Nd2Dy
_cell_length_a 9.226
_cell_length_b 9.226
_cell_length_c 15.713
_cell_angle_alpha 90.00
_cell_angle_beta 90.00
_cell_angle_gamma 90.00
_space_group_name_H-M_alt 'I 4/m c m'
_space_group_IT_number 140
_space_group_name_Hall '-I 4 2c'
loop_
_atom_site_label
_atom_site_fract_x
_atom_site_fract_y
_atom_site_fract_z
Ac1 0.000 0.000 0.250
La1 0.000 0.000 0.000
La2 0.202 0.298 0.134
Nd1 0.116 0.384 0.500
Dy1 0.000 0.500 0.250
```



Record 8
Here is a relaxed structure of Ac2LaDyO6 from the Alexandria database. Energies are from PBE.

* E_form (uncorrected): -33.8 eV/f.u.
* DOS(E_F): 0.000 states/eV/f.u.

```
data_Ac2LaDyO6
_cell_length_a 6.119
_cell_length_b 6.329
_cell_length_c 10.796
_cell_angle_alpha 90.00
_cell_angle_beta 124.28
_cell_angle_gamma 90.00
_space_group_name_H-M_alt 'P 1 21/c 1'
_space_group_IT_number 14
loop_
_space_group_symop_operation_xyz
'x,y,z'
'-x,-y,-z'
'-x,y+1/2,-z+1/2'
'x,-y+1/2,z+1/2'
loop_
_atom_site_label
_atom_site_fract_x
_atom_site_fract_y
_atom_site_fract_z
Ac1 0.236 0.048 0.253
La1 0.500 0.000 0.000
Dy1 0.000 0.000 0.500
O1 0.113 0.204 0.924
O2 0.232 0.690 0.933
O3 0.372 0.065 0.741
```



Record 9
Here is a relaxed structure of AcLa2DyP4 from the Alexandria database. Energies are from PBE.

* ΔE_f: -1516.3 meV/atom
* DOS(E_F): 0.777 states/eV/f.u.

```
data_AcLa2DyP4
_cell_length_a 7.368
_cell_length_b 4.262
_cell_length_c 7.377
_cell_angle_alpha 90.00
_cell_angle_beta 109.40
_cell_angle_gamma 90.00
_space_group_name_H-M_alt 'P 1 2/m 1'
_space_group_IT_number 10
loop_
_space_group_symop_operation_xyz
'x,y,z'
'-x,-y,-z'
'-x,y,-z'
'x,-y,z'
loop_
_atom_site_label
_atom_site_fract_x
_atom_site_fract_y
_atom_site_fract_z
Ac1 0.000 0.000 0.000
La1 0.500 0.000 0.500
La2 0.500 0.500 0.000
Dy1 0.000 0.500 0.500
P1 0.244 0.000 0.738
P2 0.252 0.500 0.262
```



Record 10
Here is a relaxed structure of AcLaDy2P4 from the Alexandria database. Energies are from PBE.

* ΔE_f: -1532.5 meV/atom
* DOS(E_F): 0.709 states/eV/f.u.

```
data_AcLaDy2P4
_cell_length_a 7.248
_cell_length_b 4.186
_cell_length_c 7.256
_cell_angle_alpha 90.00
_cell_angle_beta 109.42
_cell_angle_gamma 90.00
_space_group_name_H-M_alt 'P 1 2/m 1'
_space_group_IT_number 10
loop_
_space_group_symop_operation_xyz
'x,y,z'
'-x,-y,-z'
'-x,y,-z'
'x,-y,z'
loop_
_atom_site_label
_atom_site_fract_x
_atom_site_fract_y
_atom_site_fract_z
Ac1 0.000 0.000 0.000
La1 0.500 0.500 0.000
Dy1 0.000 0.500 0.500
Dy2 0.500 0.000 0.500
P1 0.249 0.000 0.733
P2 0.261 0.500 0.271
```



Record 11
Here is a relaxed structure of AcLaPmDy from the Alexandria database. Energies are from PBE.

* ΔE_f: 110.1 meV/atom
* DOS(E_F): 7.843 states/eV/f.u.

```
data_AcLaPmDy
_cell_length_a 8.404
_cell_length_b 8.404
_cell_length_c 8.404
_cell_angle_alpha 90.00
_cell_angle_beta 90.00
_cell_angle_gamma 90.00
_space_group_name_H-M_alt 'F -4 3 m'
_space_group_IT_number 216
_space_group_name_Hall 'F -4 2 3'
loop_
_atom_site_label
_atom_site_fract_x
_atom_site_fract_y
_atom_site_fract_z
Ac1 0.000 0.000 0.000
La1 0.000 0.000 0.500
Pm1 0.250 0.250 0.250
Dy1 0.250 0.250 0.750
```



Record 12
Here is a relaxed structure of AcLa6Pm2Dy from the Alexandria database. Energies are from PBE.

* ΔE_f: 175.5 meV/atom
* DOS(E_F): 19.163 states/eV/f.u.

```
data_AcLa6Pm2Dy
_cell_length_a 11.777
_cell_length_b 6.876
_cell_length_c 10.126
_cell_angle_alpha 90.00
_cell_angle_beta 116.37
_cell_angle_gamma 90.00
_space_group_name_H-M_alt 'C 1 2/m 1'
_space_group_IT_number 12
loop_
_space_group_symop_operation_xyz
'x,y,z'
'-x,-y,-z'
'-x,y,-z'
'x,-y,z'
'x+1/2,y+1/2,z'
'-x+1/2,-y+1/2,-z'
'-x+1/2,y+1/2,-z'
'x+1/2,-y+1/2,z'
loop_
_atom_site_label
_atom_site_fract_x
_atom_site_fract_y
_atom_site_fract_z
Ac1 0.000 0.000 0.000
La1 0.145 0.500 0.921
La2 0.190 0.272 0.332
Pm1 0.066 0.000 0.690
Dy1 0.000 0.500 0.500
```



Record 13
Here is a relaxed structure of AcLaPmDy from the Alexandria database. Energies are from PBE.

* ΔE_f: 55.6 meV/atom
* DOS(E_F): 5.150 states/eV/f.u.

```
data_AcLaPmDy
_cell_length_a 3.7663
_cell_length_b 3.7663
_cell_length_c 12.0534
_cell_angle_alpha 90.00
_cell_angle_beta 90.00
_cell_angle_gamma 120.00
_space_group_name_H-M_alt 'P 3 m 1'
_space_group_IT_number 156
loop_
_space_group_symop_operation_xyz
'x,y,z'
'-y,x-y,z'
'-x+y,-x,z'
'-y,-x,z'
'-x+y,y,z'
'x,x-y,z'
loop_
_atom_site_label
_atom_site_fract_x
_atom_site_fract_y
_atom_site_fract_z
Ac1 0.0000 0.0000 0.0000
La1 0.6667 0.3333 0.5065
Pm1 0.3333 0.6667 0.2581
Dy1 0.3333 0.6667 0.7483
```



Record 14
Here is a relaxed structure of Ac2La5PmDy from the Alexandria database. Energies are from PBE.

* ΔE_f: 100.5 meV/atom
* DOS(E_F): 13.591 states/eV/f.u.

```
data_Ac2La5PmDy
_cell_length_a 5.691
_cell_length_b 22.750
_cell_length_c 10.647
_cell_angle_alpha 90.00
_cell_angle_beta 90.00
_cell_angle_gamma 90.00
_space_group_name_H-M_alt 'C m c m'
_space_group_IT_number 63
_space_group_name_Hall '-C 2c 2'
loop_
_atom_site_label
_atom_site_fract_x
_atom_site_fract_y
_atom_site_fract_z
Ac1 0.000 0.115 0.013
La1 0.000 0.004 0.750
La2 0.000 0.277 0.061
La3 0.000 0.377 0.750
La4 0.000 0.500 0.000
Pm1 0.000 0.215 0.750
Dy1 0.000 0.397 0.250
```



Record 15
Here is a relaxed structure of Ac2LaPm4Dy from the Alexandria database. Energies are from PBE.

* ΔE_f: 378.9 meV/atom
* DOS(E_F): 18.336 states/eV/f.u.

```
data_Ac2LaPm4Dy
_cell_length_a 14.116
_cell_length_b 13.816
_cell_length_c 7.150
_cell_angle_alpha 90.00
_cell_angle_beta 120.31
_cell_angle_gamma 90.00
_space_group_name_H-M_alt 'C 1 2/c 1'
_space_group_IT_number 15
loop_
_space_group_symop_operation_xyz
'x,y,z'
'-x,-y,-z'
'-x,y,-z+1/2'
'x,-y,z+1/2'
'x+1/2,y+1/2,z'
'-x+1/2,-y+1/2,-z'
'-x+1/2,y+1/2,-z+1/2'
'x+1/2,-y+1/2,z+1/2'
loop_
_atom_site_label
_atom_site_fract_x
_atom_site_fract_y
_atom_site_fract_z
Ac1 0.000 0.000 0.000
Ac2 0.250 0.250 0.000
La1 0.000 0.500 0.000
Pm1 0.000 0.260 0.016
Pm2 0.237 0.490 0.486
Dy1 0.250 0.250 0.500
```



Record 16
Here is a relaxed structure of Ac5LaPm2Dy from the Alexandria database. Energies are from PBE.

* ΔE_f: 149.4 meV/atom
* DOS(E_F): 14.727 states/eV/f.u.

```
data_Ac5LaPm2Dy
_cell_length_a 6.011
_cell_length_b 21.798
_cell_length_c 11.273
_cell_angle_alpha 90.00
_cell_angle_beta 90.00
_cell_angle_gamma 90.00
_space_group_name_H-M_alt 'C m c 21'
_space_group_IT_number 36
loop_
_space_group_symop_operation_xyz
'x,y,z'
'-x,-y,z+1/2'
'-x,y,z'
'x,-y,z+1/2'
'x+1/2,y+1/2,z'
'-x+1/2,-y+1/2,z+1/2'
'-x+1/2,y+1/2,z'
'x+1/2,-y+1/2,z+1/2'
loop_
_atom_site_label
_atom_site_fract_x
_atom_site_fract_y
_atom_site_fract_z
Ac1 0.000 0.011 0.000
Ac2 0.000 0.276 0.691
Ac3 0.000 0.298 0.310
Ac4 0.000 0.373 0.995
Ac5 0.000 0.486 0.267
La1 0.000 0.407 0.551
Pm1 0.000 0.114 0.711
Pm2 0.000 0.116 0.270
Dy1 0.000 0.191 0.999
```



Record 17
Here is a relaxed structure of AcLaPm2Dy4 from the Alexandria database. Energies are from PBE.

* ΔE_f: 9.3 meV/atom
* DOS(E_F): 10.028 states/eV/f.u.

```
data_AcLaPm2Dy4
_cell_length_a 7.319
_cell_length_b 7.325
_cell_length_c 11.747
_cell_angle_alpha 89.98
_cell_angle_beta 89.99
_cell_angle_gamma 60.03
_space_group_name_H-M_alt 'P -1'
_space_group_IT_number 2
loop_
_space_group_symop_operation_xyz
'x,y,z'
'-x,-y,-z'
loop_
_atom_site_label
_atom_site_fract_x
_atom_site_fract_y
_atom_site_fract_z
Ac1 0.000 0.000 0.000
Ac2 0.000 0.500 0.500
La1 0.000 0.000 0.500
La2 0.500 0.000 0.500
Pm1 0.000 0.500 0.000
Pm2 0.500 0.000 0.000
Pm3 0.500 0.500 0.000
Pm4 0.500 0.500 0.500
Dy1 0.168 0.166 0.249
Dy2 0.168 0.666 0.249
Dy3 0.334 0.333 0.752
Dy4 0.334 0.834 0.750
```



Record 18
Here is a relaxed structure of AcLa2Pm6Dy from the Alexandria database. Energies are from PBE.

* ΔE_f: 117.9 meV/atom
* DOS(E_F): 15.477 states/eV/f.u.

```
data_AcLa2Pm6Dy
_cell_length_a 9.334
_cell_length_b 15.599
_cell_length_c 9.973
_cell_angle_alpha 90.00
_cell_angle_beta 97.04
_cell_angle_gamma 90.00
_space_group_name_H-M_alt 'C 1 2/c 1'
_space_group_IT_number 15
loop_
_space_group_symop_operation_xyz
'x,y,z'
'-x,-y,-z'
'-x,y,-z+1/2'
'x,-y,z+1/2'
'x+1/2,y+1/2,z'
'-x+1/2,-y+1/2,-z'
'-x+1/2,y+1/2,-z+1/2'
'x+1/2,-y+1/2,z+1/2'
loop_
_atom_site_label
_atom_site_fract_x
_atom_site_fract_y
_atom_site_fract_z
Ac1 0.000 0.019 0.250
La1 0.246 0.444 0.457
Pm1 0.066 0.193 0.945
Pm2 0.103 0.395 0.118
Pm3 0.207 0.225 0.311
Dy1 0.000 0.408 0.750
```



Record 19
Here is a relaxed structure of AcLa4Pm2Dy from the Alexandria database. Energies are from PBE.

* ΔE_f: 27.7 meV/atom
* DOS(E_F): 14.543 states/eV/f.u.

```
data_AcLa4Pm2Dy
_cell_length_a 11.742
_cell_length_b 5.270
_cell_length_c 10.600
_cell_angle_alpha 90.00
_cell_angle_beta 116.82
_cell_angle_gamma 90.00
_space_group_name_H-M_alt 'C 1 2/m 1'
_space_group_IT_number 12
loop_
_space_group_symop_operation_xyz
'x,y,z'
'-x,-y,-z'
'-x,y,-z'
'x,-y,z'
'x+1/2,y+1/2,z'
'-x+1/2,-y+1/2,-z'
'-x+1/2,y+1/2,-z'
'x+1/2,-y+1/2,z'
loop_
_atom_site_label
_atom_site_fract_x
_atom_site_fract_y
_atom_site_fract_z
Ac1 0.000 0.000 0.000
La1 0.246 0.000 0.869
La2 0.249 0.500 0.622
Pm1 0.001 0.500 0.744
Dy1 0.000 0.000 0.500
```